No. 1
Computed, not measured: an optimized crystal structure of Zr9H2N4 at the PBE level of DFT.

a = 5.6848 Å, b = 5.6848 Å, c = 15.9612 Å
α = 90.00°, β = 90.00°, γ = 120.00°
Space group P-3c1 (No. 165)
Inequivalent atoms, fractional coordinates:
Zr 0.0000 0.3489 0.2500 (multiplicity 6)
Zr 0.0054 0.3502 0.9169 (multiplicity 12)
H 0.0000 0.0000 0.1645 (multiplicity 4)
N 0.3333 0.6667 0.0039 (multiplicity 4)
N 0.3333 0.6667 0.3288 (multiplicity 4)

Output
Raw total energy in eV per atom: -8.8206

No. 2
Computed, not measured: an optimized crystal structure of NaH at the PBE level of DFT.

a = 3.581 Å, b = 3.593 Å, c = 9.411 Å
α = 89.80°, β = 89.82°, γ = 60.30°
Space group P1 (No. 1)
Inequivalent atoms, fractional coordinates:
Na 0.000 0.000 0.000 (multiplicity 1)
Na 0.337 0.340 0.314 (multiplicity 1)
H 0.646 0.673 0.697 (multiplicity 1)
H 0.648 0.675 0.616 (multiplicity 1)

Output
Raw total energy in eV per atom: -2.2762

No. 3
Computed, not measured: an optimized crystal structure of NaH4 at the PBE level of DFT.

a = 4.723 Å, b = 5.217 Å, c = 6.200 Å
α = 71.04°, β = 88.56°, γ = 88.95°
Space group P1 (No. 1)
Inequivalent atoms, fractional coordinates:
Na 0.000 0.000 0.000 (multiplicity 1)
Na 0.494 0.430 0.183 (multiplicity 1)
H 0.183 0.430 0.535 (multiplicity 1)
H 0.211 0.937 0.526 (multiplicity 1)
H 0.242 0.871 0.653 (multiplicity 1)
H 0.246 0.392 0.654 (multiplicity 1)
H 0.677 0.138 0.653 (multiplicity 1)
H 0.716 0.625 0.656 (multiplicity 1)
H 0.726 0.684 0.526 (multiplicity 1)
H 0.762 0.160 0.541 (multiplicity 1)

Output
Raw total energy in eV per atom: -2.9094

No. 4
Computed, not measured: an optimized crystal structure of NaH at the PBE level of DFT.

a = 3.648 Å, b = 3.648 Å, c = 5.195 Å
α = 90.00°, β = 90.00°, γ = 90.00°
Space group I-4m2 (No. 119)
Inequivalent atoms, fractional coordinates:
Na 0.000 0.000 0.000 (multiplicity 2)
H 0.000 0.500 0.750 (multiplicity 2)

Output
Raw total energy in eV per atom: -2.4931

No. 5
Computed, not measured: an optimized crystal structure of NaH2 at the PBE level of DFT.

a = 3.670 Å, b = 3.670 Å, c = 6.680 Å
α = 90.00°, β = 90.00°, γ = 90.00°
Space group I4/mmm (No. 139)
Inequivalent atoms, fractional coordinates:
Na 0.000 0.000 0.000 (multiplicity 2)
H 0.000 0.000 0.437 (multiplicity 4)

Output
Raw total energy in eV per atom: -2.4324

No. 6
Computed, not measured: an optimized crystal structure of Na8H at the PBE level of DFT.

a = 7.3424 Å, b = 7.3424 Å, c = 6.0477 Å
α = 90.00°, β = 90.00°, γ = 120.00°
Space group P-3m1 (No. 164)
Inequivalent atoms, fractional coordinates:
Na 0.1611 0.3223 0.2652 (multiplicity 6)
Na 0.3333 0.6667 0.7840 (multiplicity 2)
H 0.0000 0.0000 0.5000 (multiplicity 1)

Output
Raw total energy in eV per atom: -1.5381

> raw total energy of number 1 (Zr9H2N4)?

-8.8206 eV per atom

> Which of these has the lowest raw total energy?

Zr9H2N4

> Look up the raw total energy of the sixth one.

-1.5381 eV per atom

> What is the formula in the sixth record?

Na8H